1.
Material: AlPPb2
Method: DFT, PBE-GGA
State: optimized geometry

Formation enthalpy at 0 K in kJ/mol of formula units: 47.6
Space group: Imm2, No. 44

Structure (POSCAR):
```
AlPPb2
1.0
5.930 0.013 -0.005
2.265 5.481 0.005
-3.374 -3.827 3.024
Pb Al P
2 1 1
direct
0.970 0.970 0.000 Pb
0.275 0.775 0.500 Pb
0.549 0.549 0.000 Al
0.706 0.206 0.500 P
```


2.
Material: Ho3PuO6F2
Method: DFT, PBE-GGA
State: optimized geometry

Space group: C2/m, No. 12
E_form (uncorrected) in meV per atom: -3324

Structure (POSCAR):
```
Ho3PuO6F2
1.0
4.685 0.000 0.383
0.000 6.684 0.000
-0.188 -3.342 5.876
O Ho Pu F
6 3 1 2
direct
0.295 0.166 0.331 O
0.273 0.170 0.844 O
0.705 0.834 0.669 O
0.727 0.830 0.156 O
0.273 0.674 0.844 O
0.727 0.326 0.156 O
0.000 0.500 0.000 Ho
0.500 0.000 0.500 Ho
0.500 0.500 0.500 Ho
0.500 0.000 0.000 Pu
0.240 0.670 0.340 F
0.760 0.330 0.660 F
```


3.
Material: SrTeIr2Ru
Method: DFT, PBE-GGA
State: optimized geometry

Space group: P4/mmm, No. 123
E_form (uncorrected) in meV per atom: 2608

Structure (POSCAR):
```
SrTeIr2Ru
1.0
-0.607 2.024 4.484
5.073 -2.192 1.677
2.290 4.116 -1.548
Sr Te Ru Ir
1 1 1 2
direct
0.000 0.000 0.000 Sr
0.000 0.500 0.000 Te
0.500 0.500 0.500 Ru
0.500 0.000 0.000 Ir
0.000 0.000 0.500 Ir
```


| no. | size of the total moment (μB/atom) |
| --- | --- |
| 1 | 0.0000 |
| 2 | 0.2500 |
| 3 | 0.9262 |